--- i ---
First-principles (GGA-PBE) data for a geometry-optimized PmAlBi structure, as listed in Alexandria.

The space group is I4mm (No. 107) and the conventional cell measures 4.380, 4.380 and 9.105 Å, with angles of 90.00, 90.00 and 90.00 degrees. The distinct sites, in fractional coordinates, are Pm at (0.000, 0.000, 0.000), Al at (0.000, 0.000, 0.344) and Bi at (0.000, 0.000, 0.646).

Its total magnetization is 0.000 μB/cell. As for the density of states at the Fermi level: 3.243 states/eV/cell.

=====

--- ii ---
First-principles (GGA-PBE) data for a geometry-optimized PmAlBi structure, as listed in Alexandria.

The space group is P3m1 (No. 156) and the conventional cell measures 4.9030, 4.9030 and 4.0487 Å, with angles of 90.00, 90.00 and 120.00 degrees. The distinct sites, in fractional coordinates, are Pm at (0.0000, 0.0000, 0.0000), Al at (0.6667, 0.3333, 0.5292) and Bi at (0.3333, 0.6667, 0.4897).

Its total magnetization is 0.000 μB/cell. As for the density of states at the Fermi level: 1.927 states/eV/cell.

=====

Among the structures shown above, ii is the most stable, with the second-best lying 8.2 kJ/mol of atoms higher.